# NaYSO4, relaxed, DFT PBE-GGA
# DOS at the Fermi energy: 0.00 states/eV/f.u.
# symmetry: Imma, No. 74
# spin magnetization: 0.0 μB/f.u.
# final energy: -6.406 eV per atom
# formation energy (no corrections): -43.16 kcal/mol of atoms
data_NaYSO4
_chemical_formula_sum 'Na2 Y2 S2 O8'
_cell_length_a 7.268
_cell_length_b 6.601
_cell_length_c 6.601
_cell_angle_alpha 61.32
_cell_angle_beta 56.60
_cell_angle_gamma 56.60
_symmetry_space_group_name_H-M 'P 1'
_symmetry_Int_Tables_number 1
loop_
_symmetry_equiv_pos_as_xyz
'x,y,z'
loop_
_atom_site_label
_atom_site_fract_x
_atom_site_fract_y
_atom_site_fract_z
_atom_site_occupancy
Na1 0.500 0.000 0.500 1
Na2 0.000 0.000 0.500 1
Y1 0.000 0.000 0.000 1
Y2 0.000 0.500 0.500 1
S1 0.612 0.638 0.138 1
S2 0.388 0.362 0.862 1
O1 0.713 0.720 0.855 1
O2 0.287 0.645 0.780 1
O3 0.713 0.355 0.220 1
O4 0.287 0.280 0.145 1
O5 0.194 0.755 0.255 1
O6 0.797 0.755 0.255 1
O7 0.203 0.245 0.745 1
O8 0.806 0.245 0.745 1